Entry 1:
SrHgIr2 after structural relaxation. Source: the Alexandria database, functional PBE.

Output
DFT formation energy	0.22	eV/atom
total magnetic moment	0.0	μB/cell
density	10.60	g/cm3

a = 4.681 Å, b = 4.681 Å, c = 10.170 Å
α = 76.70°, β = 76.70°, γ = 90.00°
Element x y z (fractional)
Sr  0.500  0.500  0.000
Sr  0.250  0.750  0.500
Ir  0.798  0.125  0.250
Ir  0.952  0.625  0.250
Ir  0.375  0.202  0.750
Ir  0.875  0.048  0.750
Hg  0.000  0.000  0.000
Hg  0.750  0.250  0.500

***

Entry 2:
PrSm5Ho2 after structural relaxation. Source: the Alexandria database, functional PBE.

Output
DFT formation energy	0.03	eV/atom
total magnetic moment	0.0	μB/cell
density	7.53	g/cm3

a = 6.863 Å, b = 13.948 Å, c = 9.680 Å
α = 107.24°, β = 66.29°, γ = 140.52°
Element x y z (fractional)
Pr  0.955  0.708  0.710
Pr  0.045  0.292  0.290
Sm  0.334  0.083  0.834
Sm  0.208  0.959  0.459
Sm  0.419  0.667  0.417
Sm  0.290  0.541  0.041
Sm  0.462  0.209  0.208
Sm  0.538  0.791  0.792
Sm  0.581  0.333  0.583
Sm  0.710  0.459  0.959
Sm  0.666  0.917  0.166
Sm  0.792  0.041  0.541
Ho  0.835  0.584  0.332
Ho  0.083  0.833  0.084
Ho  0.165  0.416  0.668
Ho  0.917  0.167  0.916

***

Entry 3:
DyTlSe4 after structural relaxation. Source: the Alexandria database, functional PBE.

Output
total magnetic moment	0.0	μB/cell
density	6.89	g/cm3
formation energy (no corrections)	-5.44	eV per formula unit

a = 6.261 Å, b = 6.261 Å, c = 8.395 Å
α = 90.00°, β = 90.00°, γ = 90.00°
Element x y z (fractional)
Dy  0.500  0.500  0.000
Dy  0.000  0.000  0.000
Tl  0.500  0.500  0.500
Tl  0.000  0.000  0.500
Se  0.637  0.863  0.206
Se  0.137  0.637  0.206
Se  0.863  0.363  0.206
Se  0.637  0.137  0.794
Se  0.363  0.863  0.794
Se  0.363  0.137  0.206
Se  0.863  0.637  0.794
Se  0.137  0.363  0.794

***

Entry 4:
In2SbRh after structural relaxation. Source: the Alexandria database, functional PBE.

Output
total magnetic moment	0.0	μB/cell
density	8.36	g/cm3
formation energy (no corrections)	-0.15	eV per formula unit

a = 9.291 Å, b = 9.291 Å, c = 9.291 Å
α = 21.00°, β = 21.00°, γ = 21.00°
Element x y z (fractional)
In  0.764  0.764  0.764
In  0.236  0.236  0.236
Sb  0.000  0.000  0.000
Rh  0.500  0.500  0.500

***

Entry 5:
LiCrAs after structural relaxation. Source: the Alexandria database, functional PBE.

Output
DFT formation energy	0.20	eV/atom
total magnetic moment	0.0	μB/cell
density	4.88	g/cm3

a = 7.470 Å, b = 3.090 Å, c = 3.090 Å
α = 129.00°, β = 120.98°, γ = 59.02°
Element x y z (fractional)
Cr  0.677  0.072  0.928
As  0.397  0.583  0.417
Li  0.043  0.515  0.485

***

Entry 6:
VZnH after structural relaxation. Source: the Alexandria database, functional PBE.

Output
total energy	-4.597	eV per atom
total magnetic moment	0.0	μB/cell
density	6.28	g/cm3

a = 2.709 Å, b = 5.184 Å, c = 4.971 Å
α = 65.83°, β = 92.93°, γ = 79.82°
Element x y z (fractional)
H  0.180  0.848  0.589
H  0.775  0.609  0.884
Zn  0.844  0.475  0.290
Zn  0.110  0.982  0.183
V  0.631  0.012  0.700
V  0.324  0.445  0.773

***

Entry 7:
ErAl2Ni9 after structural relaxation. Source: the Alexandria database, functional PBE.

Output
DFT formation energy	-0.32	eV/atom
total magnetic moment	0.1	μB/cell
density	8.13	g/cm3

a = 4.795 Å, b = 4.795 Å, c = 8.174 Å
α = 72.94°, β = 72.94°, γ = 60.00°
Element x y z (fractional)
Er  0.000  0.000  0.000
Al  0.856  0.856  0.431
Al  0.144  0.144  0.569
Ni  0.666  0.666  0.002
Ni  0.334  0.334  0.998
Ni  0.500  0.500  0.500
Ni  0.410  0.410  0.262
Ni  0.919  0.410  0.262
Ni  0.410  0.919  0.262
Ni  0.590  0.590  0.738
Ni  0.590  0.081  0.738
Ni  0.081  0.590  0.738

***

Entry 8:
Ac6TeIr2I3 after structural relaxation. Source: the Alexandria database, functional PBE.

Output
total magnetic moment	0.0	μB/cell
density	8.05	g/cm3
formation energy (no corrections)	-13.21	eV per formula unit

a = 7.938 Å, b = 7.938 Å, c = 8.920 Å
α = 98.55°, β = 98.55°, γ = 119.96°
Element x y z (fractional)
Ac  0.935  0.566  0.808
Ac  0.695  0.695  0.191
Ac  0.065  0.434  0.192
Ac  0.566  0.935  0.808
Ac  0.305  0.305  0.809
Ac  0.434  0.065  0.192
Te  0.000  0.000  0.000
Ir  0.333  0.667  0.000
Ir  0.667  0.333  0.000
I  0.159  0.841  0.500
I  0.841  0.159  0.500
I  0.500  0.500  0.500